DFT (PBE) results for an optimized crystal structure of BeAgSe.

abc: 5.929 5.929 5.929
angles: 90.00 90.00 90.00
Atoms (fractional coordinates):
Be 0.000 0.000 0.000
Be 0.000 0.500 0.500
Be 0.500 0.000 0.500
Be 0.500 0.500 0.000
Ag 0.250 0.250 0.250
Ag 0.250 0.750 0.750
Ag 0.750 0.250 0.750
Ag 0.750 0.750 0.250
Se 0.250 0.250 0.750
Se 0.250 0.750 0.250
Se 0.750 0.250 0.250
Se 0.750 0.750 0.750

Properties
Formation energy from raw total energies in eV/atom: 0.18
Total energy in eV/f.u.: -9.524
ΔE to the lowest computed polymorph in meV per atom: 433
Total moment in μB per formula unit: 0.00